--- i ---
Compound: BeCuCl
Source: the Alexandria database
Functional: GGA-PBE
Structure: relaxed

Unit cell a=6.334 b=6.334 c=6.334 alpha=153.82 beta=153.82 gamma=37.37
Atoms (fractional coordinates):
Be: 0.002 0.002 0.000
Cu: 0.608 0.608 0.000
Cl: 0.390 0.390 0.000

Results
The symmetry is I4mm, No. 107.

***

--- ii ---
Compound: BeCuCl
Source: the Alexandria database
Functional: GGA-PBE
Structure: relaxed

Unit cell a=4.147 b=4.147 c=4.147 alpha=60.00 beta=60.00 gamma=60.00
Atoms (fractional coordinates):
Be: 0.000 0.000 0.000
Cu: 0.750 0.750 0.750
Cl: 0.500 0.500 0.500

Results
The symmetry is F-43m, No. 216.

***

The calculated energies rank the structures as follows, beginning with the most stable: i, ii.

***

--- i ---
Compound: BeCuCl
Source: the Alexandria database
Functional: GGA-PBE
Structure: relaxed

Unit cell a=6.577 b=6.212 c=3.056 alpha=82.93 beta=69.61 gamma=27.46
Atoms (fractional coordinates):
Be: 0.006 0.006 0.994
Cu: 0.373 0.373 0.627
Cl: 0.621 0.621 0.379

Results
The symmetry is Fmm2, No. 42.

***

--- ii ---
Compound: BeCuCl
Source: the Alexandria database
Functional: GGA-PBE
Structure: relaxed

Unit cell a=3.058 b=3.058 c=5.685 alpha=90.00 beta=90.00 gamma=120.00
Atoms (fractional coordinates):
Be: 0.000 0.000 0.015
Cu: 0.667 0.333 0.744
Cl: 0.333 0.667 0.241

Results
The symmetry is P3m1, No. 156.

***

The calculated energies rank the structures as follows, beginning with the most stable: ii, i.

***

--- i ---
Compound: BeCuCl3
Source: the Alexandria database
Functional: GGA-PBE
Structure: relaxed

Unit cell a=4.654 b=4.654 c=4.654 alpha=90.00 beta=90.00 gamma=90.00
Atoms (fractional coordinates):
Be: 0.500 0.500 0.500
Cu: 0.000 0.000 0.000
Cl: 0.000 0.500 0.000
Cl: 0.000 0.000 0.500
Cl: 0.500 0.000 0.000

Results
The symmetry is Pm-3m, No. 221.

***

--- ii ---
Compound: BeCuCl3
Source: the Alexandria database
Functional: GGA-PBE
Structure: relaxed

Unit cell a=4.505 b=4.505 c=4.505 alpha=90.00 beta=90.00 gamma=90.00
Atoms (fractional coordinates):
Be: 0.000 0.000 0.000
Cu: 0.500 0.500 0.500
Cl: 0.000 0.500 0.000
Cl: 0.000 0.000 0.500
Cl: 0.500 0.000 0.000

Results
The symmetry is Pm-3m, No. 221.

***

The calculated energies rank the structures as follows, beginning with the most stable: ii, i.

***

--- i ---
Compound: BeCuPCl2
Source: the Alexandria database
Functional: GGA-PBE
Structure: relaxed

Unit cell a=4.419 b=4.419 c=5.191 alpha=90.00 beta=90.00 gamma=90.00
Atoms (fractional coordinates):
P: 0.000 0.000 0.500
Be: 0.500 0.500 0.500
Cu: 0.000 0.000 0.000
Cl: 0.000 0.500 0.000
Cl: 0.500 0.000 0.000

Results
The symmetry is P4/mmm, No. 123.

***

--- ii ---
Compound: BeCuPCl2
Source: the Alexandria database
Functional: GGA-PBE
Structure: relaxed

Unit cell a=4.044 b=4.044 c=6.612 alpha=90.00 beta=90.00 gamma=90.00
Atoms (fractional coordinates):
P: 0.000 0.000 0.500
Be: 0.000 0.000 0.000
Cu: 0.500 0.500 0.500
Cl: 0.000 0.500 0.000
Cl: 0.500 0.000 0.000

Results
The symmetry is P4/mmm, No. 123.

***

The calculated energies rank the structures as follows, beginning with the most stable: ii, i.

***

--- i ---
Compound: BeCuS2Cl
Source: the Alexandria database
Functional: GGA-PBE
Structure: relaxed

Unit cell a=3.956 b=3.956 c=6.764 alpha=90.00 beta=90.00 gamma=90.00
Atoms (fractional coordinates):
Be: 0.000 0.000 0.000
S: 0.000 0.500 0.000
S: 0.500 0.000 0.000
Cu: 0.500 0.500 0.500
Cl: 0.000 0.000 0.500

Results
The symmetry is P4/mmm, No. 123.

***

--- ii ---
Compound: BeCuS2Cl
Source: the Alexandria database
Functional: GGA-PBE
Structure: relaxed

Unit cell a=5.029 b=3.744 c=5.029 alpha=90.00 beta=90.00 gamma=90.00
Atoms (fractional coordinates):
Be: 0.000 0.500 0.000
S: 0.000 0.000 0.500
S: 0.500 0.000 0.000
Cu: 0.500 0.500 0.500
Cl: 0.000 0.000 0.000

Results
The symmetry is P4/mmm, No. 123.

***

The calculated energies rank the structures as follows, beginning with the most stable: i, ii.

***

--- i ---
Compound: BeClF
Source: the Alexandria database
Functional: GGA-PBE
Structure: relaxed

Unit cell a=5.496 b=5.496 c=5.803 alpha=90.00 beta=90.00 gamma=120.00
Atoms (fractional coordinates):
Be: 0.055 0.497 0.346
Be: 0.503 0.558 0.013
Be: 0.442 0.945 0.679
Cl: 0.342 0.244 0.768
Cl: 0.902 0.658 0.101
Cl: 0.756 0.098 0.435
F: 0.178 0.703 0.553
F: 0.297 0.475 0.219
F: 0.525 0.822 0.886

Results
The symmetry is P3_2, No. 145.

***

--- ii ---
Compound: BeClF
Source: the Alexandria database
Functional: GGA-PBE
Structure: relaxed

Unit cell a=4.948 b=5.739 c=6.918 alpha=61.28 beta=117.57 gamma=77.42
Atoms (fractional coordinates):
Be: 0.231 0.769 0.731
Be: 0.769 0.231 0.269
Cl: 0.635 0.361 0.892
Cl: 0.365 0.639 0.108
F: 0.819 0.905 0.478
F: 0.181 0.095 0.522

Results
The symmetry is P-1, No. 2.

***

--- iii ---
Compound: BeClF
Source: the Alexandria database
Functional: GGA-PBE
Structure: relaxed

Unit cell a=4.957 b=4.957 c=4.722 alpha=121.66 beta=121.66 gamma=90.00
Atoms (fractional coordinates):
Be: 0.639 0.639 0.279
F: 0.858 0.858 0.715
Cl: 0.353 0.353 0.706

Results
The symmetry is I4mm, No. 107.

***

The calculated energies rank the structures as follows, beginning with the most stable: i, ii, iii.